A plane-wave DFT calculation with GGA+U was carried out for an optimized crystal structure of AcMnTl2O4.

Lattice parameters (Å, degrees): 4.4413 10.4686 7.4009 90.00 90.00 90.00
Sites, in units of the cell vectors:
Ac  0.9380  0.0727  0.5000
Ac  0.4380  0.9273  0.0000
Mn  0.4359  0.8069  0.5000
Mn  0.9359  0.1931  0.0000
Tl  0.4371  0.3543  0.2574
Tl  0.4371  0.3543  0.7426
Tl  0.9371  0.6457  0.7574
Tl  0.9371  0.6457  0.2426
O  0.4389  0.2058  0.0000
O  0.9389  0.7942  0.5000
O  0.4382  0.9984  0.5000
O  0.9382  0.0016  0.0000
O  0.4374  0.7741  0.7548
O  0.9374  0.2259  0.2548
O  0.9374  0.2259  0.7452
O  0.4374  0.7741  0.2452

Values from the calculation:
VASP energy ... -6.16 eV/atom
Calculated volume ... 344 Å³ per cell